Record 1
VASP calculation (PBE) on a geometry-optimized SmCdBi2 structure.

Geometry as POSCAR:
```
SmCdBi2
1.0
4.183 0.000 0.000
0.000 4.183 0.000
0.000 0.000 6.742
Sm Cd Bi
1 1 2
direct
0.000 0.000 0.000
0.000 0.000 0.500
0.500 0.500 0.246
0.500 0.500 0.754
```

space-group type	No. 123
formation energy	-384	meV per atom

=====

Record 2
VASP calculation (PBE) on a geometry-optimized Y3Co structure.

Geometry as POSCAR:
```
Y3Co
1.0
5.257 0.000 0.000
0.000 5.257 0.000
0.000 0.000 5.257
Y Co
3 1
direct
0.000 0.000 0.500
0.000 0.500 0.000
0.500 0.000 0.000
0.000 0.000 0.000
```

space-group type	No. 221
formation energy	257	meV per atom

=====

Record 3
VASP calculation (PBE) on a geometry-optimized K2Zr6BeCl15 structure.

Geometry as POSCAR:
```
K2Zr6BeCl15
1.0
5.756 -8.328 0.000
5.756 8.328 0.000
0.000 0.000 14.414
K Zr Be Cl
4 12 2 30
direct
0.000 0.000 0.250
0.000 0.000 0.750
0.000 0.500 0.000
0.500 0.000 0.500
0.006 0.268 0.500
0.179 0.563 0.382
0.179 0.563 0.618
0.268 0.006 0.000
0.437 0.821 0.118
0.437 0.821 0.882
0.563 0.179 0.118
0.563 0.179 0.882
0.732 0.994 0.000
0.821 0.437 0.382
0.821 0.437 0.618
0.994 0.732 0.500
0.000 0.500 0.500
0.500 0.000 0.000
0.000 0.000 0.000
0.000 0.000 0.500
0.000 0.500 0.248
0.000 0.500 0.752
0.175 0.809 0.124
0.175 0.809 0.876
0.191 0.825 0.376
0.191 0.825 0.624
0.193 0.313 0.372
0.193 0.313 0.628
0.313 0.193 0.128
0.313 0.193 0.872
0.355 0.614 0.000
0.373 0.627 0.250
0.373 0.627 0.750
0.386 0.645 0.500
0.500 0.000 0.252
0.500 0.000 0.748
0.614 0.355 0.500
0.627 0.373 0.250
0.627 0.373 0.750
0.645 0.386 0.000
0.687 0.807 0.128
0.687 0.807 0.872
0.807 0.687 0.372
0.807 0.687 0.628
0.809 0.175 0.376
0.809 0.175 0.624
0.825 0.191 0.124
0.825 0.191 0.876
```

space-group type	No. 66
raw total energy	-5.2376	eV per atom

=====

Record 4
VASP calculation (PBE) on a geometry-optimized BaTiTeO6 structure.

Geometry as POSCAR:
```
BaTiTeO6
1.0
5.299 0.000 0.000
-2.649 4.589 0.000
0.000 0.000 11.596
Ba Ti Te O
2 2 2 12
direct
0.000 0.000 0.000
0.000 0.000 0.500
0.333 0.667 0.250
0.667 0.333 0.750
0.333 0.667 0.750
0.667 0.333 0.250
0.005 0.394 0.654
0.005 0.610 0.846
0.390 0.394 0.846
0.390 0.995 0.654
0.394 0.005 0.154
0.394 0.390 0.346
0.606 0.610 0.654
0.606 0.995 0.846
0.610 0.005 0.346
0.610 0.606 0.154
0.995 0.390 0.154
0.995 0.606 0.346
```

space-group type	No. 163
raw total energy	-6.9884	eV per atom

=====

Record 5
VASP calculation (PBE) on a geometry-optimized PuCdPdRu structure.

Geometry as POSCAR:
```
PuCdPdRu
1.0
0.000 3.346 3.346
3.346 0.000 3.346
3.346 3.346 0.000
Pu Cd Pd Ru
1 1 1 1
direct
0.000 0.000 0.000
0.500 0.500 0.500
0.750 0.750 0.750
0.250 0.250 0.250
```

space-group type	No. 216
formation energy	-157	meV per atom

=====

Record 6
VASP calculation (PBE) on a geometry-optimized Cd2PtWSe structure.

Geometry as POSCAR:
```
Cd2PtWSe
1.0
5.134 0.000 0.000
0.000 5.134 0.000
0.000 0.000 4.913
Cd Pt W Se
2 1 1 1
direct
0.000 0.500 0.000
0.500 0.000 0.000
0.000 0.000 0.000
0.000 0.000 0.500
0.500 0.500 0.500
```

space-group type	No. 123
raw total energy	-4.0615	eV per atom